Entry 1:
Density functional theory data (GGA-PBE) for Fe2Ge2Bi after structural relaxation.

Cell lengths 4.220, 4.220, 9.405 Å; angles 90.00, 90.00, 90.00 degrees
Space group I4/mmm (No. 139)
Unique sites:
Fe 0.000 0.500 0.250
Ge 0.000 0.000 0.136
Bi 0.000 0.000 0.500

Summary:
excess energy over the best structure of this formula in the dataset	0.00	eV/f.u.
total DFT energy (no corrections)	-5.79	eV per atom
energy of formation from the pure elements	0.222	eV/atom

***

Entry 2:
Density functional theory data (GGA-PBE) for AuSe2Br after structural relaxation.

Cell lengths 8.906, 12.726, 4.913 Å; angles 90.00, 90.00, 90.00 degrees
Space group C222_1 (No. 20)
Unique sites:
Au 0.207 0.000 0.000
Se 0.122 0.395 0.804
Br 0.000 0.115 0.250

Summary:
formation energy (no corrections)	-0.074	eV/atom
total DFT energy (no corrections)	-3.05	eV per atom